Density functional theory data (PBE-GGA) for a relaxed structure of Ho5Er3.

Cell lengths 7.1594, 7.1594, 5.5576 Å; angles 90.00, 90.00, 120.00 degrees
Last column: nearest neighbours and their distance in Å.
Positions (direct):
Ho: 0.0000 0.0000 0.0000  6 Er 3.46, 6 Ho 3.58
Ho: 0.0000 0.5000 0.0000  4 Er 3.46, 8 Ho 3.46-3.58
Ho: 0.3333 0.6667 0.5000  6 Ho 3.46, 6 Er 3.58
Ho: 0.5000 0.0000 0.0000  4 Er 3.46, 8 Ho 3.46-3.58
Ho: 0.5000 0.5000 0.0000  4 Er 3.46, 8 Ho 3.46-3.58
Er: 0.3337 0.1668 0.5000  8 Ho 3.46-3.58, 4 Er 3.58
Er: 0.8332 0.1668 0.5000  8 Ho 3.46-3.58, 4 Er 3.58
Er: 0.8332 0.6663 0.5000  8 Ho 3.46-3.58, 4 Er 3.58

As for the formation energy: 2 meV per atom. The space group is No. 187.